Computed, not measured: crystalline TmThZr at its relaxed geometry at the PBE level of DFT.

Lattice parameters (Å, degrees): 3.3758 3.3758 7.8319 102.45 102.45 90.00
Closest atoms and distances in Å follow each position.
Positions (direct):
1 Tm 0.3251 0.3251 0.6502  4 Zr 3.34, 4 Tm 3.38, 4 Th 3.61
2 Zr 0.6687 0.6687 0.3373  4 Tm 3.34, 4 Zr 3.38, 4 Th 3.40
3 Th 0.0062 0.0062 0.0124  4 Th 3.38, 4 Zr 3.40, 4 Tm 3.61

- Energy: -6.730 eV/atom
- Distance to the lowest polymorph of the same formula: 0 meV per atom
- ΔH_f (0 K): 0.08 eV/atom



Computed, not measured: crystalline Tm8Th2Zr at its relaxed geometry at the PBE level of DFT.

Lattice parameters (Å, degrees): 5.6614 8.3607 8.3607 82.37 77.01 77.01
Closest atoms and distances in Å follow each position.
Positions (direct):
1 Tm 0.1556 0.8501 0.3396  1 Zr 3.18, 4 Tm 3.25-3.54, 1 Th 3.41
2 Tm 0.1174 0.7284 0.7284  2 Th 3.19-3.31, 6 Tm 3.25-3.54, 1 Zr 3.28
3 Tm 0.1556 0.3396 0.8501  1 Zr 3.18, 4 Tm 3.25-3.54, 1 Th 3.41
4 Tm 0.8444 0.1499 0.6604  1 Zr 3.18, 4 Tm 3.25-3.54, 1 Th 3.41
5 Tm 0.7151 0.5755 0.5755  6 Tm 3.22-3.51, 1 Th 3.44
6 Tm 0.2849 0.4245 0.4245  6 Tm 3.22-3.51, 1 Th 3.44
7 Tm 0.8826 0.2716 0.2716  2 Th 3.19-3.31, 6 Tm 3.25-3.54, 1 Zr 3.28
8 Tm 0.8444 0.6604 0.1499  1 Zr 3.18, 4 Tm 3.25-3.54, 1 Th 3.41
9 Th 0.4837 0.1384 0.1384  1 Zr 2.92, 1 Tm 3.19
10 Th 0.5163 0.8616 0.8616  1 Zr 2.92, 1 Tm 3.19
11 Zr 0.0000 0.0000 0.0000  2 Th 2.92, 4 Tm 3.18

- Energy: -4.893 eV/atom
- ΔH_f (0 K): 0.48 eV/atom



Computed, not measured: crystalline Tm4ThZr at its relaxed geometry at the PBE level of DFT.

Lattice parameters (Å, degrees): 6.4600 6.4447 10.0571 100.37 100.43 115.94
Closest atoms and distances in Å follow each position.
Positions (direct):
1 Th 0.5364 0.7864 0.0728  6 Tm 3.30-3.53, 4 Zr 3.43, 2 Th 3.50
2 Th 0.4636 0.2136 0.9272  6 Tm 3.30-3.53, 4 Zr 3.43, 2 Th 3.50
3 Tm 0.3611 0.1346 0.2455  2 Zr 3.20-3.27, 2 Th 3.30-3.46, 5 Tm 3.35-3.46
4 Tm 0.9499 0.1967 0.4002  10 Tm 3.35-3.74, 1 Th 3.53, 1 Zr 3.75
5 Tm 0.6389 0.8654 0.7545  2 Zr 3.20-3.27, 2 Th 3.30-3.46, 5 Tm 3.35-3.46
6 Tm 0.0501 0.8033 0.5998  10 Tm 3.35-3.74, 1 Th 3.53, 1 Zr 3.75
7 Tm 0.4503 0.7035 0.4002  10 Tm 3.35-3.74, 1 Th 3.53, 1 Zr 3.75
8 Tm 0.8844 0.6109 0.2455  2 Zr 3.20-3.27, 2 Th 3.30-3.46, 5 Tm 3.35-3.46
9 Tm 0.5497 0.2965 0.5998  10 Tm 3.35-3.74, 1 Th 3.53, 1 Zr 3.75
10 Tm 0.1156 0.3891 0.7545  2 Zr 3.20-3.27, 2 Th 3.30-3.46, 5 Tm 3.35-3.46
11 Zr 0.9758 0.7258 0.9516  4 Tm 3.20-3.27, 2 Zr 3.35, 4 Th 3.43
12 Zr 0.0242 0.2742 0.0484  4 Tm 3.20-3.27, 2 Zr 3.35, 4 Th 3.43

- Energy: -5.573 eV/atom
- ΔH_f (0 K): 0.07 eV/atom



Computed, not measured: crystalline TmThZr at its relaxed geometry at the PBE level of DFT.

Lattice parameters (Å, degrees): 3.4160 5.3882 5.3882 120.00 90.00 90.00
Closest atoms and distances in Å follow each position.
Positions (direct):
1 Tm 0.1667 0.0000 0.0000  3 Zr 3.11, 2 Tm 3.42
2 Zr 0.1667 0.3333 0.6667  3 Tm 3.11, 2 Zr 3.42
3 Th 0.6666 0.6667 0.3333  2 Th 3.42, 6 Zr 3.55, 6 Tm 3.55

- Energy: -6.717 eV/atom
- Distance to the lowest polymorph of the same formula: 13 meV per atom
- ΔH_f (0 K): 0.10 eV/atom



Computed, not measured: crystalline Tm14ThZr at its relaxed geometry at the PBE level of DFT.

Lattice parameters (Å, degrees): 6.9574 6.9574 9.7819 90.00 90.00 90.00
Closest atoms and distances in Å follow each position.
Positions (direct):
1 Tm 0.1284 0.8716 0.2444  1 Zr 3.41, 10 Tm 3.43-3.53, 1 Th 3.45
2 Tm 0.6216 0.3784 0.7555  1 Zr 3.41, 10 Tm 3.43-3.53, 1 Th 3.46
3 Tm 0.6216 0.8716 0.7556  1 Zr 3.41, 10 Tm 3.43-3.53, 1 Th 3.45
4 Tm 0.3750 0.6250 0.5000  12 Tm 3.48
5 Tm 0.1284 0.3784 0.7556  1 Zr 3.41, 10 Tm 3.43-3.53, 1 Th 3.45
6 Tm 0.6216 0.8716 0.2444  1 Zr 3.41, 10 Tm 3.43-3.53, 1 Th 3.45
7 Tm 0.6216 0.3784 0.2445  1 Zr 3.41, 10 Tm 3.43-3.53, 1 Th 3.46
8 Tm 0.8749 0.6249 0.0000  8 Tm 3.43, 2 Zr 3.48, 2 Th 3.48
9 Tm 0.1284 0.3784 0.2444  1 Zr 3.41, 10 Tm 3.43-3.53, 1 Th 3.45
10 Tm 0.3749 0.1250 0.5000  12 Tm 3.48-3.51
11 Tm 0.8750 0.1250 0.5000  12 Tm 3.48-3.53
12 Tm 0.1284 0.8716 0.7556  1 Zr 3.41, 10 Tm 3.43-3.53, 1 Th 3.45
13 Tm 0.8750 0.6251 0.5000  12 Tm 3.48-3.51
14 Tm 0.3751 0.1251 0.0000  8 Tm 3.43, 2 Zr 3.48, 2 Th 3.48
15 Th 0.8750 0.1250 0.0000  12 Tm 3.45-3.48
16 Zr 0.3750 0.6250 0.0000  12 Tm 3.41-3.48

- Energy: -4.872 eV/atom
- ΔH_f (0 K): 0.04 eV/atom



Computed, not measured: crystalline Tm6ThZr at its relaxed geometry at the PBE level of DFT.

Lattice parameters (Å, degrees): 7.7799 6.8480 5.9843 106.37 49.93 102.69
Closest atoms and distances in Å follow each position.
Positions (direct):
1 Zr 0.0000 0.0000 0.0000  10 Tm 3.41-3.47, 2 Th 3.42
2 Tm 0.5011 0.7539 0.5021  8 Tm 3.38-3.54, 2 Zr 3.45-3.47, 2 Th 3.48
3 Tm 0.7555 0.6291 0.7521  9 Tm 3.39-3.55, 1 Zr 3.41, 2 Th 3.42-3.48
4 Tm 0.2445 0.3709 0.2479  9 Tm 3.39-3.55, 1 Zr 3.41, 2 Th 3.42-3.48
5 Tm 0.2396 0.8755 0.2568  9 Tm 3.36-3.56, 2 Zr 3.42-3.44, 1 Th 3.44
6 Tm 0.7604 0.1245 0.7432  9 Tm 3.36-3.56, 2 Zr 3.42-3.44, 1 Th 3.44
7 Tm 0.4989 0.2461 0.4979  8 Tm 3.38-3.54, 2 Zr 3.45-3.47, 2 Th 3.48
8 Th 0.0000 0.5000 0.0000  10 Tm 3.42-3.48, 2 Zr 3.42

- Energy: -5.302 eV/atom
- ΔH_f (0 K): 0.05 eV/atom



Computed, not measured: crystalline Tm2ThZr at its relaxed geometry at the PBE level of DFT.

Lattice parameters (Å, degrees): 5.4472 5.4472 5.4472 60.00 60.00 60.00
Closest atoms and distances in Å follow each position.
Positions (direct):
1 Tm 0.2500 0.2500 0.2500  4 Zr 3.34, 4 Th 3.34
2 Tm 0.7500 0.7500 0.7500  4 Zr 3.34, 4 Th 3.34
3 Th 0.0000 0.0000 0.0000  8 Tm 3.34
4 Zr 0.5000 0.5000 0.5000  8 Tm 3.34

- Energy: -6.024 eV/atom
- Distance to the lowest polymorph of the same formula: 155 meV per atom
- ΔH_f (0 K): 0.20 eV/atom



Computed, not measured: crystalline TmThZr at its relaxed geometry at the PBE level of DFT.

Lattice parameters (Å, degrees): 4.9896 3.3642 10.3455 99.38 90.00 90.00
Closest atoms and distances in Å follow each position.
Positions (direct):
1 Zr 0.3468 0.2071 0.8367  5 Tm 3.14-3.41, 6 Zr 3.36-3.38, 1 Th 3.37
2 Zr 0.8468 0.7825 0.9868  5 Tm 3.14-3.41, 6 Zr 3.36-3.38, 1 Th 3.37
3 Th 0.3469 0.0432 0.5062  4 Th 3.15-3.36, 1 Zr 3.37, 4 Tm 3.49
4 Th 0.8469 0.9469 0.3174  4 Th 3.15-3.36, 1 Zr 3.37, 4 Tm 3.49
5 Tm 0.3469 0.3607 0.1446  5 Zr 3.14-3.41, 2 Tm 3.36, 4 Th 3.49
6 Tm 0.8469 0.6291 0.6789  5 Zr 3.14-3.41, 2 Tm 3.36, 4 Th 3.49

- Energy: -6.633 eV/atom
- Distance to the lowest polymorph of the same formula: 97 meV per atom
- ΔH_f (0 K): 0.18 eV/atom



Question: Which of these has the lowest energy?
Answer: number 1



Question: ΔH_f (0 K) of number 6 (Tm6ThZr)?
Answer: 0.05 eV/atom